Record 1
MnCd2AgPb: optimized geometry, GGA-PBE.

Geometry as POSCAR:
```
MnCd2AgPb
1.0
5.0301 0.0000 0.0000
0.0000 4.9308 0.0000
0.0000 0.0000 5.0301
Pb Mn Ag Cd
1 1 1 2
Cartesian
2.5150 2.4654 2.5150
0.0000 0.0000 0.0000
0.0000 2.4654 0.0000
0.0000 0.0000 2.5150
2.5150 0.0000 0.0000
```

Summary:
**Space group**: No. 123
**Calculated formation energy**: 824.7 meV/atom
**D(E_F)**: 5.5 states/eV/cell

Record 2
Gd3Mn5H12: optimized geometry, GGA-PBE.

Geometry as POSCAR:
```
Gd3Mn5H12
1.0
9.8701 0.0000 0.0000
-3.2900 9.3056 0.0000
-3.2900 -4.6528 8.0589
Gd Mn H
12 20 48
Cartesian
5.7575 2.9080 1.0074
5.7575 6.3976 1.0074
-0.8225 4.0712 5.0368
0.8225 -0.5816 3.0221
7.4026 0.0000 2.0147
0.8225 4.6528 2.0147
2.4675 0.0000 6.0442
-4.1125 4.6528 6.0442
2.4675 5.2344 5.0368
4.1125 0.5816 3.0221
-2.4675 -1.7448 7.0515
-2.4675 1.7448 7.0515
-0.8225 2.3264 2.0147
-1.6450 4.6528 0.0000
0.0000 0.0000 0.0000
2.4675 1.7448 1.0074
3.2900 -2.3264 4.0294
3.2900 4.6528 0.0000
-2.4675 5.2344 3.0221
4.1125 -2.9080 7.0515
4.1125 4.0712 3.0221
0.8225 -2.3264 6.0442
2.4675 6.9792 2.0147
1.6450 2.3264 4.0294
4.9350 0.0000 0.0000
-1.6450 -2.3264 4.0294
-0.8225 0.5816 5.0368
-0.8225 7.5608 1.0074
-3.2900 2.3264 4.0294
5.7575 -0.5816 5.0368
0.8225 2.9080 7.0515
4.1125 2.3264 6.0442
6.3662 0.8842 0.1841
0.2139 2.9279 3.3558
7.3236 2.2111 2.5136
4.1915 1.2551 0.8577
1.2885 3.3078 5.3612
7.1809 4.6618 1.3317
-0.7435 5.6088 3.3714
-2.5465 8.0505 0.8577
0.3565 5.9978 5.3612
4.3342 4.6438 1.3317
5.1489 2.6091 3.1717
5.1489 8.4214 0.1841
-2.9335 3.9704 4.2135
2.2459 3.4950 0.6581
-3.5039 6.6965 3.1717
1.8589 -1.7249 4.7031
-0.3565 0.6626 1.5158
2.2459 5.8016 0.6737
4.1915 7.0945 2.5136
-0.6009 3.5040 0.6737
-2.0016 5.3154 6.5431
2.3885 3.6968 3.3714
4.5785 5.3352 4.2135
3.8909 -1.1578 7.4008
0.9015 0.9560 4.6875
-1.2885 -0.6824 3.8454
-0.6009 5.8106 0.6581
-0.9015 -2.4417 5.5452
5.2916 -0.6626 1.5158
3.8909 1.1488 7.3852
1.0442 -1.1488 7.3852
1.4311 6.3777 3.3558
3.6466 3.9902 6.5431
6.7939 -2.0437 4.8872
6.2235 0.6824 3.8454
-1.8589 -3.7686 7.8748
1.0442 1.1578 7.4008
2.9335 -1.3450 2.6977
-1.0442 0.0090 6.7272
-1.8589 2.0437 4.8872
5.8365 -3.3977 7.2011
4.0336 -0.9560 4.6875
-0.9015 3.3977 7.2011
-3.8909 -0.0090 6.7272
2.0016 1.3450 2.6977
-4.0336 2.4417 5.5452
3.0762 1.7249 4.7031
-3.0762 3.7686 7.8748
```

Summary:
**Space group**: No. 230
**D(E_F)**: 23.3 states/eV/cell

Record 3
Zr3Fe5: optimized geometry, GGA-PBE.

Geometry as POSCAR:
```
Zr3Fe5
1.0
7.7155 0.0000 0.0000
3.8577 6.6818 0.0000
0.0000 0.0000 4.9481
Fe Zr
10 6
Cartesian
7.7155 4.4545 0.0000
3.8577 2.2273 2.4740
3.8577 2.2273 0.0000
7.7155 4.4545 2.4740
1.4603 0.0000 1.2370
6.2552 0.0000 3.7110
6.9853 1.2647 1.2370
3.1276 5.4172 1.2370
0.7301 1.2647 3.7110
4.5879 5.4172 3.7110
4.7638 0.0000 1.2370
2.9517 0.0000 3.7110
5.3336 4.1256 1.2370
1.4758 2.5562 1.2370
2.3819 4.1256 3.7110
6.2397 2.5562 3.7110
```

Summary:
**Space group**: No. 193
**Calculated formation energy**: 206.9 meV/atom
**D(E_F)**: 21.9 states/eV/cell

Record 4
NbFe3Sb: optimized geometry, GGA-PBE.

Geometry as POSCAR:
```
NbFe3Sb
1.0
-1.7019 -1.1900 4.1323
4.0118 -2.0397 1.0648
1.5486 3.9764 1.7829
Sb Nb Fe
1 1 3
Cartesian
0.0000 0.0000 0.0000
1.9292 0.3733 3.4900
2.0059 -1.0199 0.5324
0.7743 1.9882 0.8914
-0.8509 -0.5950 2.0662
```

Summary:
**Space group**: No. 221
**Energy relative to the elements, uncorrected**: 133.8 kJ/mol of atoms
**D(E_F)**: 8.4 states/eV/cell
**Relative energy among the computed polymorphs**: 60.9 meV per atom

Record 5
Ho2Pd3Au3: optimized geometry, GGA-PBE.

Geometry as POSCAR:
```
Ho2Pd3Au3
1.0
5.3651 0.1136 -0.1198
0.1197 5.3650 -0.1198
-0.1138 -0.1137 5.3652
Ho Pd Au
2 3 3
Cartesian
1.3148 1.3133 3.9350
4.0562 4.0516 1.1906
1.4309 3.9384 2.5628
2.6841 1.4265 1.3082
3.9415 2.6825 3.8173
1.3824 4.1008 -0.1198
0.0014 1.2642 1.2627
3.9871 0.0000 3.9826
```

Summary:
**Space group**: No. 155
**Calculated formation energy**: -741.2 meV/atom
**D(E_F)**: 2.8 states/eV/cell
**Relative energy among the computed polymorphs**: 0.0 meV per atom

Record 6
AcGa3Co2: optimized geometry, GGA-PBE.

Geometry as POSCAR:
```
AcGa3Co2
1.0
5.3363 0.0000 0.0000
0.0000 6.3971 -0.2256
0.0000 -1.5061 6.2214
Ac Ga Co
2 6 4
Cartesian
1.3341 1.6716 2.0491
4.0023 3.2194 3.9466
4.0023 2.9233 0.4286
4.0023 -0.1674 2.9498
1.3341 1.9677 5.5672
4.0023 0.3237 0.3968
1.3341 4.5673 5.5989
1.3341 5.0584 3.0460
2.6682 4.8347 1.0489
0.0000 4.8347 1.0489
0.0000 0.0563 4.9469
2.6682 0.0563 4.9469
```

Summary:
**Space group**: No. 63
**Calculated formation energy**: -415.9 meV/atom
**D(E_F)**: 9.4 states/eV/cell

no.,E_tot (eV/atom)
1,-2.69
2,-6.61
3,-8.29
4,-6.53
5,-5.06
6,-4.98